Arrangement w

VASP calculation (GGA-PBE) on Pm4DyTm3 after structural relaxation.

Structure (extended XYZ):
```
16
Lattice="11.437 0.000 0.000 0.000 7.288 0.000 0.000 0.000 6.278" Properties=species:S:1:pos:R:3 pbc="T T T"
Pm 0.000 0.934 0.000
Pm 0.000 6.347 3.180
Pm 2.832 0.929 2.127
Pm 2.886 6.359 5.266
Pm 5.718 0.941 0.041
Pm 5.718 6.355 3.139
Pm 8.550 6.359 5.266
Pm 8.605 0.929 2.127
Dy 0.000 4.536 0.039
Dy 5.718 2.752 3.178
Tm 0.000 2.770 3.167
Tm 2.857 2.764 5.261
Tm 2.862 4.524 2.122
Tm 5.718 4.518 0.028
Tm 8.580 2.764 5.261
Tm 8.575 4.524 2.122
```

Output
As for the density of states at the Fermi level: 14.63 states/eV/f.u. For the magnetic moment, the calculation gives 0.0 Bohr magnetons per cell. The density is 7.9 Mg/m³.



Arrangement x

VASP calculation (GGA-PBE) on Pm4DyTm3 after structural relaxation.

Structure (extended XYZ):
```
8
Lattice="5.650 0.000 0.000 0.000 3.620 0.000 -2.815 0.000 12.930" Properties=species:S:1:pos:R:3 pbc="T T T"
Pm 0.000 0.000 2.661
Pm 0.003 0.000 5.769
Pm 2.833 0.000 7.161
Pm 2.836 0.000 10.269
Dy 0.000 1.810 0.000
Tm 0.007 1.810 9.017
Tm 2.825 0.000 0.000
Tm 2.829 1.810 3.913
```

Output
As for the density of states at the Fermi level: 11.30 states/eV/f.u. For the magnetic moment, the calculation gives 0.0 Bohr magnetons per cell. The density is 7.8 Mg/m³.



The calculated energies rank the structures as follows, beginning with the most stable: arrangement w, arrangement x.



Arrangement w

VASP calculation (GGA-PBE) on Pm5Dy2Tm12 after structural relaxation.

Structure (extended XYZ):
```
19
Lattice="7.902 0.000 0.000 -3.142 8.056 0.000 -0.795 -0.320 9.320" Properties=species:S:1:pos:R:3 pbc="T T T"
Pm 0.000 0.000 0.000
Pm 0.797 0.304 3.429
Pm -0.006 3.089 8.834
Pm 3.971 4.647 0.486
Pm 3.168 7.432 5.892
Dy 1.586 3.714 2.958
Dy 2.378 4.022 6.362
Tm -2.348 5.259 7.335
Tm -0.797 2.791 5.398
Tm -0.760 5.886 1.484
Tm 1.606 0.618 6.855
Tm 0.003 6.185 4.912
Tm 3.183 1.237 0.983
Tm 0.782 6.499 8.338
Tm 3.961 1.552 4.408
Tm 2.359 7.118 2.465
Tm 4.724 1.850 7.836
Tm 4.762 4.945 3.923
Tm 6.313 2.477 1.986
```

Output
As for the density of states at the Fermi level: 26.47 states/eV/f.u. For the magnetic moment, the calculation gives 0.0 Bohr magnetons per cell. The density is 8.6 Mg/m³.



Arrangement x

VASP calculation (GGA-PBE) on Pm5Dy2Tm12 after structural relaxation.

Structure (extended XYZ):
```
19
Lattice="9.072 -3.488 0.000 9.072 3.488 0.000 -3.701 0.000 9.626" Properties=species:S:1:pos:R:3 pbc="T T T"
Pm 0.000 0.000 0.000
Pm 0.885 0.000 6.569
Pm 4.699 0.000 2.797
Pm 9.743 0.000 6.829
Pm 13.558 0.000 3.057
Dy 7.221 1.598 4.813
Dy 7.221 -1.598 4.813
Tm -2.311 0.000 7.196
Tm 3.868 1.766 6.077
Tm 2.500 1.726 9.413
Tm 10.574 1.766 3.549
Tm 11.942 1.726 0.213
Tm 5.969 0.000 7.950
Tm 8.474 0.000 1.676
Tm 2.500 -1.726 9.413
Tm 3.868 -1.766 6.077
Tm 11.942 -1.726 0.213
Tm 10.574 -1.766 3.549
Tm 16.754 0.000 2.430
```

Output
As for the density of states at the Fermi level: 25.36 states/eV/f.u. For the magnetic moment, the calculation gives 0.0 Bohr magnetons per cell. The density is 8.4 Mg/m³.



The calculated energies rank the structures as follows, beginning with the most stable: arrangement w, arrangement x.